1.
Below is crystalline PmZnSbAu at its relaxed geometry, with properties calculated at the PBE level.

a = 5.065 Å, b = 5.065 Å, c = 5.065 Å
α = 60.00°, β = 60.00°, γ = 60.00°
Atoms (fractional coordinates):
1 Au 0.500 0.500 0.500
2 Pm 0.250 0.250 0.250
3 Zn 0.000 0.000 0.000
4 Sb 0.750 0.750 0.750

* formation energy (no corrections): -0.4369 eV/atom
* space group: F-43m
* calculated volume: 22.97 A^3/atom

---

2.
Below is crystalline PrMgGa4 at its relaxed geometry, with properties calculated at the PBE level.

a = 4.361 Å, b = 5.806 Å, c = 5.806 Å
α = 72.89°, β = 67.94°, γ = 67.94°
Atoms (fractional coordinates):
1 Pr 0.000 0.000 0.500
2 Ga 0.337 0.868 0.957
3 Ga 0.663 0.543 0.631
4 Ga 0.337 0.457 0.369
5 Ga 0.663 0.132 0.043
6 Mg 0.000 0.500 0.000

* ΔH_f (0 K): -0.40 eV/atom
* distance to the lowest polymorph of the same formula: 0.000 eV/atom
* space group: Immm
* calculated volume: 20.70 A^3/atom

---

3.
Below is crystalline EuGa2I4 at its relaxed geometry, with properties calculated at the PBE level.

a = 6.500 Å, b = 6.500 Å, c = 8.889 Å
α = 111.45°, β = 111.45°, γ = 90.00°
Last column: magnetic moment on the atom in μB.
Atoms (fractional coordinates):
1 Eu 0.000 0.000 0.000  6.88
2 Ga 0.396 0.396 0.792  0.00
3 Ga 0.604 0.604 0.208  0.00
4 I 0.500 0.000 0.000  -0.01
5 I 0.792 0.792 0.583  -0.01
6 I 0.000 0.500 0.000  -0.01
7 I 0.208 0.208 0.417  -0.01

* formation energy (no corrections): -0.7672 eV/atom
* space group: I4/mmm
* calculated volume: 45.92 A^3/atom

---

4.
Below is crystalline LaPr3Cd8 at its relaxed geometry, with properties calculated at the PBE level.

a = 6.136 Å, b = 6.136 Å, c = 9.554 Å
α = 90.00°, β = 90.00°, γ = 120.00°
Atoms (fractional coordinates):
1 Cd 0.333 0.667 0.500
2 Cd 0.504 0.496 0.751
3 Cd 0.164 0.328 0.249
4 Cd 0.504 0.007 0.751
5 Cd 0.333 0.667 0.999
6 Cd 0.672 0.836 0.249
7 Cd 0.164 0.836 0.249
8 Cd 0.993 0.496 0.751
9 Pr 0.667 0.333 0.440
10 Pr 0.667 0.333 0.057
11 Pr 0.000 0.000 0.944
12 La 0.000 0.000 0.559

* ΔH_f (0 K): -0.31 eV/atom
* space group: P3m1
* calculated volume: 25.96 A^3/atom

---

5.
Below is crystalline KIn4Rh at its relaxed geometry, with properties calculated at the PBE level.

a = 6.404 Å, b = 6.404 Å, c = 9.784 Å
α = 70.99°, β = 70.99°, γ = 90.05°
Atoms (fractional coordinates):
1 Rh 0.250 0.250 0.500
2 Rh 0.750 0.750 0.500
3 K 0.000 0.000 0.000
4 K 0.500 0.500 0.000
5 In 0.508 0.008 0.333
6 In 0.492 0.992 0.667
7 In 0.159 0.659 0.333
8 In 0.992 0.841 0.668
9 In 0.341 0.492 0.668
10 In 0.008 0.159 0.332
11 In 0.841 0.341 0.667
12 In 0.659 0.508 0.332

* ΔH_f (0 K): -0.14 eV/atom
* distance to the lowest polymorph of the same formula: 0.079 eV/atom
* space group: C2/m
* calculated volume: 29.68 A^3/atom

---

6.
Below is crystalline DyMgRhAu at its relaxed geometry, with properties calculated at the PBE level.

a = 4.786 Å, b = 4.786 Å, c = 4.786 Å
α = 60.00°, β = 60.00°, γ = 60.00°
Atoms (fractional coordinates):
1 Rh 0.500 0.500 0.500
2 Dy 0.750 0.750 0.750
3 Mg 0.250 0.250 0.250
4 Au 0.000 0.000 0.000

* ΔH_f (0 K): -0.68 eV/atom
* space group: F-43m
* calculated volume: 19.39 A^3/atom